(1)
{
  "formula": "Nd2Th",
  "functional": "PBE",
  "state": "optimized geometry",
  "vol_a3_per_atom": 33.7,
  "relative_energy_ev_per_atom": 0.328,
  "dos_at_fermi_per_ev_atom": 2.30,
  "formation_enthalpy_0k_ev_per_atom": 0.34,
  "total_energy_ev_per_atom": -5.31,
  "cell": [[0.0000, 4.6596, 4.6596], [4.6596, 0.0000, 4.6596], [4.6596, 4.6596, 0.0000]],
  "species": ["Nd", "Nd", "Nd", "Nd", "Th", "Th"],
  "frac_coords": [[0.0000, 0.0000, 0.0000], [0.0000, 0.0000, 0.5000], [0.0000, 0.5000, 0.0000], [0.5000, 0.0000, 0.0000], [0.3750, 0.3750, 0.3750], [0.6250, 0.6250, 0.6250]]
}



(2)
{
  "formula": "TbNi3Ge2",
  "functional": "PBE",
  "state": "optimized geometry",
  "vol_a3_per_atom": 15.5,
  "dos_at_fermi_per_ev_atom": 0.64,
  "formation_enthalpy_0k_ev_per_atom": -0.56,
  "total_energy_ev_per_atom": -5.76,
  "cell": [[7.4599, -1.9399, 0.0000], [7.4599, 1.9399, 0.0000], [-3.0803, 0.0000, 6.4104]],
  "species": ["Tb", "Tb", "Ni", "Ni", "Ni", "Ni", "Ni", "Ni", "Ge", "Ge", "Ge", "Ge"],
  "frac_coords": [[0.1513, 0.1513, 0.0691], [0.8487, 0.8487, 0.9309], [0.0395, 0.0395, 0.3779], [0.3138, 0.3138, 0.5520], [0.4093, 0.4093, 0.3362], [0.5907, 0.5907, 0.6638], [0.6862, 0.6862, 0.4480], [0.9605, 0.9605, 0.6221], [0.1908, 0.1908, 0.6825], [0.4785, 0.4785, 0.8113], [0.5215, 0.5215, 0.1887], [0.8092, 0.8092, 0.3175]]
}



(3)
{
  "formula": "Tl2SiAg",
  "functional": "PBE",
  "state": "optimized geometry",
  "vol_a3_per_atom": 25.0,
  "relative_energy_ev_per_atom": 0.027,
  "dos_at_fermi_per_ev_atom": 0.41,
  "total_energy_ev_per_atom": -2.97,
  "raw_formation_energy_ev_per_atom": 0.28,
  "cell": [[4.4150, 0.0000, 0.0000], [0.0000, 4.5420, 0.0000], [-2.1225, 0.0000, 4.9898]],
  "species": ["Tl", "Tl", "Si", "Ag"],
  "frac_coords": [[0.0000, 0.0000, 0.0000], [0.3011, 0.5000, 0.6070], [0.6943, 0.0000, 0.4130], [0.6011, 0.5000, 0.1870]]
}



(4)
{
  "formula": "Pu2Tl3RhS6",
  "functional": "PBE",
  "state": "optimized geometry",
  "vol_a3_per_atom": 24.3,
  "dos_at_fermi_per_ev_atom": 1.19,
  "total_energy_ev_per_atom": -6.54,
  "raw_formation_energy_ev_per_atom": -0.88,
  "cell": [[3.3202, -5.7843, 0.0000], [3.3202, 5.7843, 0.0000], [-2.2555, 0.0000, 7.5901]],
  "species": ["Pu", "Pu", "Tl", "Tl", "Tl", "Rh", "S", "S", "S", "S", "S", "S"],
  "frac_coords": [[0.1649, 0.8351, 0.0000], [0.8351, 0.1649, 0.0000], [0.0000, 0.0000, 0.5000], [0.3239, 0.6761, 0.5000], [0.6761, 0.3239, 0.5000], [0.5000, 0.5000, 0.0000], [0.1304, 0.4383, 0.8130], [0.2607, 0.2607, 0.1973], [0.4383, 0.1304, 0.8130], [0.5617, 0.8696, 0.1870], [0.7393, 0.7393, 0.8027], [0.8696, 0.5617, 0.1870]]
}



(5)
{
  "formula": "Cr2Te2Br",
  "functional": "PBE",
  "state": "optimized geometry",
  "vol_a3_per_atom": 25.7,
  "dos_at_fermi_per_ev_atom": 0.30,
  "total_energy_ev_per_atom": -5.70,
  "raw_formation_energy_ev_per_atom": -0.26,
  "cell": [[-1.9947, 1.9947, 8.0837], [1.9947, -1.9947, 8.0837], [1.9947, 1.9947, -8.0837]],
  "species": ["Cr", "Cr", "Te", "Te", "Br"],
  "frac_coords": [[0.1567, 0.1567, 0.0000], [0.8433, 0.8433, 0.0000], [0.3262, 0.3262, 0.0000], [0.6738, 0.6738, 0.0000], [0.0000, 0.0000, 0.0000]]
}



(6)
{
  "formula": "BH3Rh",
  "functional": "PBE",
  "state": "optimized geometry",
  "vol_a3_per_atom": 7.8,
  "relative_energy_ev_per_atom": 0.017,
  "dos_at_fermi_per_ev_atom": 0.23,
  "total_energy_ev_per_atom": -3.93,
  "cell": [[3.3950, 0.0000, 0.0000], [0.0000, 3.3950, 0.0000], [0.0000, 0.0000, 3.3950]],
  "species": ["B", "H", "H", "H", "Rh"],
  "frac_coords": [[0.0000, 0.0000, 0.0000], [0.0000, 0.5000, 0.5000], [0.5000, 0.0000, 0.5000], [0.5000, 0.5000, 0.0000], [0.5000, 0.5000, 0.5000]]
}



(7)
{
  "formula": "Ho5TmMg6",
  "functional": "PBE",
  "state": "optimized geometry",
  "vol_a3_per_atom": 26.8,
  "dos_at_fermi_per_ev_atom": 1.41,
  "formation_enthalpy_0k_ev_per_atom": -0.07,
  "total_energy_ev_per_atom": -3.15,
  "cell": [[5.3486, 0.0000, 0.0000], [0.0000, 7.5046, 0.0000], [-2.6707, 0.0000, 8.0201]],
  "species": ["Ho", "Ho", "Ho", "Ho", "Ho", "Tm", "Mg", "Mg", "Mg", "Mg", "Mg", "Mg"],
  "frac_coords": [[0.0000, 0.0000, 0.0000], [0.3318, 0.0000, 0.6662], [0.3326, 0.5000, 0.6678], [0.6674, 0.5000, 0.3322], [0.6682, 0.0000, 0.3338], [0.0000, 0.5000, 0.0000], [0.1683, 0.2505, 0.3332], [0.1683, 0.7495, 0.3332], [0.5000, 0.2504, 0.0000], [0.5000, 0.7496, 0.0000], [0.8317, 0.2505, 0.6668], [0.8317, 0.7495, 0.6668]]
}



(8)
{
  "formula": "Ca4Ce3NpN8",
  "functional": "PBE",
  "state": "optimized geometry",
  "vol_a3_per_atom": 15.7,
  "dos_at_fermi_per_ev_atom": 0.77,
  "total_energy_ev_per_atom": -7.86,
  "raw_formation_energy_ev_per_atom": -1.27,
  "cell": [[3.5580, 2.0542, 5.7143], [-3.5580, 2.0542, 5.7143], [0.0000, -4.1085, 5.7143]],
  "species": ["Ca", "Ca", "Ca", "Ca", "Ce", "Ce", "Ce", "Np", "N", "N", "N", "N", "N", "N", "N", "N"],
  "frac_coords": [[0.0000, 0.0000, 0.0000], [0.0000, 0.5000, 0.5000], [0.5000, 0.0000, 0.5000], [0.5000, 0.5000, 0.0000], [0.0000, 0.0000, 0.5000], [0.0000, 0.5000, 0.0000], [0.5000, 0.0000, 0.0000], [0.5000, 0.5000, 0.5000], [0.2400, 0.2400, 0.2400], [0.2557, 0.7315, 0.7315], [0.2685, 0.2685, 0.7443], [0.2685, 0.7443, 0.2685], [0.7315, 0.2557, 0.7315], [0.7315, 0.7315, 0.2557], [0.7443, 0.2685, 0.2685], [0.7600, 0.7600, 0.7600]]
}